Model P:
The following is a PBE calculation of a relaxed Fe2TcAg crystal, from Alexandria.

Computed properties:
**Symmetry**: Cmmm (65)

abc: 2.6297 2.6297 8.6529
angles: 90.00 90.00 108.21
Element x y z (fractional)
1 Ag 0.5000 0.5000 0.7500
2 Tc 0.5000 0.5000 0.2500
3 Fe 0.0000 0.0000 0.4872
4 Fe 0.0000 0.0000 0.0128

---

Model Q:
The following is a PBE calculation of a relaxed Fe2TcAg crystal, from Alexandria.

Computed properties:
**Symmetry**: P4/mmm (123)

abc: 4.4479 4.4479 2.8569
angles: 90.00 90.00 90.00
Element x y z (fractional)
1 Tc 0.5000 0.0000 0.5000
2 Fe 0.0000 0.0000 0.0000
3 Fe 0.5000 0.5000 0.0000
4 Ag 0.0000 0.5000 0.5000

---

Model R:
The following is a PBE calculation of a relaxed Fe2TcAg crystal, from Alexandria.

Computed properties:
**Symmetry**: Fm-3m (225)

abc: 4.2078 4.2078 4.2078
angles: 60.00 60.00 60.00
Element x y z (fractional)
1 Ag 0.5000 0.5000 0.5000
2 Fe 0.7500 0.7500 0.7500
3 Fe 0.2500 0.2500 0.2500
4 Tc 0.0000 0.0000 0.0000

---

The most stable arrangement is model P, and the next structure is 14.8 kJ/mol of atoms less stable.

---

Model P:
The following is a PBE calculation of a relaxed Fe2TcAg crystal, from Alexandria.

Computed properties:
**Symmetry**: P4/mmm (123)

abc: 2.6764 2.6764 7.7806
angles: 90.00 90.00 90.00
Element x y z (fractional)
1 Fe 0.0000 0.0000 0.4817
2 Fe 0.0000 0.0000 0.0183
3 Tc 0.5000 0.5000 0.2500
4 Ag 0.5000 0.5000 0.7500

---

Model Q:
The following is a PBE calculation of a relaxed Fe2TcAg crystal, from Alexandria.

Computed properties:
**Symmetry**: Cmmm (65)

abc: 4.6901 4.6901 2.6675
angles: 90.00 90.00 107.75
Element x y z (fractional)
1 Ag 0.0000 0.5000 0.5000
2 Fe 0.0000 0.0000 0.0000
3 Fe 0.5000 0.5000 0.0000
4 Tc 0.5000 0.0000 0.5000

---

The most stable arrangement is model P, and the next structure is 11.9 kJ/mol of atoms less stable.

---

Model P:
The following is a PBE calculation of a relaxed Fe2TcAg crystal, from Alexandria.

Computed properties:
**Symmetry**: Cmm2 (35)

abc: 2.6191 2.6191 8.7119
angles: 90.00 90.00 109.32
Element x y z (fractional)
1 Fe 0.5000 0.5000 0.2411
2 Fe 0.0000 0.0000 0.0234
3 Tc 0.0000 0.0000 0.4751
4 Ag 0.5000 0.5000 0.7604

---

Model Q:
The following is a PBE calculation of a relaxed Fe2TcAg crystal, from Alexandria.

Computed properties:
**Symmetry**: F-43m (216)

abc: 4.3036 4.3036 4.3036
angles: 60.00 60.00 60.00
Element x y z (fractional)
1 Fe 0.0000 0.0000 0.0000
2 Fe 0.2500 0.2500 0.2500
3 Ag 0.5000 0.5000 0.5000
4 Tc 0.7500 0.7500 0.7500

---

Model R:
The following is a PBE calculation of a relaxed Fe2TcAg crystal, from Alexandria.

Computed properties:
**Symmetry**: R3m (160)

abc: 8.8758 8.8758 8.8758
angles: 17.71 17.71 17.71
Element x y z (fractional)
1 Ag 0.7469 0.7469 0.7469
2 Fe 0.2519 0.2519 0.2519
3 Fe 0.9918 0.9918 0.9918
4 Tc 0.5094 0.5094 0.5094

---

Model S:
The following is a PBE calculation of a relaxed Fe2TcAg crystal, from Alexandria.

Computed properties:
**Symmetry**: Cm (8)

abc: 4.8265 4.8265 4.5644
angles: 72.77 72.77 33.15
Element x y z (fractional)
1 Tc 0.4817 0.4817 0.5482
2 Fe 0.7356 0.7356 0.7290
3 Fe 0.0220 0.0220 0.0073
4 Ag 0.2606 0.2606 0.2155

---

The most stable arrangement is model P, and the next structure is 2.7 kJ/mol of atoms less stable.

---

Model P:
The following is a PBE calculation of a relaxed Fe2TcAg crystal, from Alexandria.

Computed properties:
**Symmetry**: I-42d (122)

abc: 6.6064 6.6064 5.3939
angles: 52.24 52.24 90.00
Element x y z (fractional)
1 Fe 0.3750 0.4173 0.7500
2 Fe 0.5827 0.1250 0.2500
3 Fe 0.1673 0.6250 0.2500
4 Fe 0.8750 0.8327 0.7500
5 Ag 0.7500 0.2500 0.5000
6 Ag 0.0000 0.0000 0.0000
7 Tc 0.5000 0.5000 0.0000
8 Tc 0.2500 0.7500 0.5000

---

Model Q:
The following is a PBE calculation of a relaxed Fe2TcAg crystal, from Alexandria.

Computed properties:
**Symmetry**: Pmmm (47)

abc: 2.7843 4.6339 4.4662
angles: 90.00 90.00 90.00
Element x y z (fractional)
1 Tc 0.5000 0.0000 0.5000
2 Ag 0.0000 0.5000 0.5000
3 Fe 0.5000 0.5000 0.0000
4 Fe 0.0000 0.0000 0.0000

---

The most stable arrangement is model Q, and the next structure is 28.5 kJ/mol of atoms less stable.

---

Model P:
The following is a PBE calculation of a relaxed FeTc2Ag2 crystal, from Alexandria.

Computed properties:
**Symmetry**: P4/mbm (127)

abc: 7.9273 7.9273 2.7207
angles: 90.00 90.00 90.00
Element x y z (fractional)
1 Ag 0.1923 0.3077 0.0000
2 Ag 0.3077 0.8077 0.0000
3 Ag 0.8077 0.6923 0.0000
4 Ag 0.6923 0.1923 0.0000
5 Tc 0.6003 0.8997 0.5000
6 Tc 0.8997 0.3997 0.5000
7 Tc 0.1003 0.6003 0.5000
8 Tc 0.3997 0.1003 0.5000
9 Fe 0.5000 0.5000 0.0000
10 Fe 0.0000 0.0000 0.0000

---

Model Q:
The following is a PBE calculation of a relaxed FeTc2Ag2 crystal, from Alexandria.

Computed properties:
**Symmetry**: I4/mmm (139)

abc: 3.4485 3.4485 7.7022
angles: 77.06 77.06 90.00
Element x y z (fractional)
1 Tc 0.2500 0.7500 0.5000
2 Tc 0.7500 0.2500 0.5000
3 Fe 0.0000 0.0000 0.0000
4 Ag 0.5935 0.5935 0.8130
5 Ag 0.4065 0.4065 0.1870

---

The most stable arrangement is model Q, and the next structure is 33.6 kJ/mol of atoms less stable.

---

Model P:
The following is a PBE calculation of a relaxed Fe2Tc2Ag crystal, from Alexandria.

Computed properties:
**Symmetry**: P4/mbm (127)

abc: 7.3375 7.3375 2.6203
angles: 90.00 90.00 90.00
Element x y z (fractional)
1 Ag 0.5000 0.5000 0.0000
2 Ag 0.0000 0.0000 0.0000
3 Fe 0.8341 0.3341 0.5000
4 Fe 0.6659 0.8341 0.5000
5 Fe 0.1659 0.6659 0.5000
6 Fe 0.3341 0.1659 0.5000
7 Tc 0.3755 0.8755 0.0000
8 Tc 0.1245 0.3755 0.0000
9 Tc 0.6245 0.1245 0.0000
10 Tc 0.8755 0.6245 0.0000

---

Model Q:
The following is a PBE calculation of a relaxed Fe2Tc2Ag crystal, from Alexandria.

Computed properties:
**Symmetry**: P4/mbm (127)

abc: 7.1731 7.1731 2.6604
angles: 90.00 90.00 90.00
Element x y z (fractional)
1 Fe 0.8778 0.6222 0.0000
2 Fe 0.3778 0.8778 0.0000
3 Fe 0.1222 0.3778 0.0000
4 Fe 0.6222 0.1222 0.0000
5 Tc 0.1669 0.6669 0.5000
6 Tc 0.8331 0.3331 0.5000
7 Tc 0.3331 0.1669 0.5000
8 Tc 0.6669 0.8331 0.5000
9 Ag 0.5000 0.5000 0.0000
10 Ag 0.0000 0.0000 0.0000

---

The most stable arrangement is model Q, and the next structure is 7.2 kJ/mol of atoms less stable.

---

Model P:
The following is a PBE calculation of a relaxed FeAgTe crystal, from Alexandria.

Computed properties:
**Symmetry**: P3m1 (156)

abc: 3.2927 3.2927 6.4814
angles: 90.00 90.00 120.00
Element x y z (fractional)
1 Fe 0.6667 0.3333 0.3457
2 Ag 0.0000 0.0000 0.0403
3 Te 0.3333 0.6667 0.6140

---

Model Q:
The following is a PBE calculation of a relaxed FeAgTe crystal, from Alexandria.

Computed properties:
**Symmetry**: P-6m2 (187)

abc: 4.3597 4.3597 3.7385
angles: 90.00 90.00 120.00
Element x y z (fractional)
1 Te 0.3333 0.6667 0.4994
2 Fe 0.6667 0.3333 0.5005
3 Ag 0.0000 0.0000 0.0001

---

The most stable arrangement is model P, and the next structure is 3.4 kJ/mol of atoms less stable.

---

Model P:
The following is a PBE calculation of a relaxed FeAgTe crystal, from Alexandria.

Computed properties:
**Symmetry**: I4mm (107)

abc: 5.4410 5.4410 5.4410
angles: 143.55 143.58 52.48
Element x y z (fractional)
1 Ag 0.9898 0.9898 0.0000
2 Fe 0.3187 0.3187 0.0000
3 Te 0.6915 0.6915 0.0000

---

Model Q:
The following is a PBE calculation of a relaxed FeAgTe crystal, from Alexandria.

Computed properties:
**Symmetry**: F-43m (216)

abc: 4.4222 4.4222 4.4222
angles: 60.00 60.00 60.00
Element x y z (fractional)
1 Fe 0.7500 0.7500 0.7500
2 Ag 0.5000 0.5000 0.5000
3 Te 0.0000 0.0000 0.0000

---

The most stable arrangement is model Q, and the next structure is 15.1 kJ/mol of atoms less stable.

---

Model P:
The following is a PBE calculation of a relaxed FeAgTe3 crystal, from Alexandria.

Computed properties:
**Symmetry**: Pm-3m (221)

abc: 5.4016 5.4016 5.4016
angles: 90.00 90.00 90.00
Element x y z (fractional)
1 Ag 0.0000 0.0000 0.0000
2 Te 0.0000 0.5000 0.0000
3 Te 0.5000 0.0000 0.0000
4 Te 0.0000 0.0000 0.5000
5 Fe 0.5000 0.5000 0.5000

---

Model Q:
The following is a PBE calculation of a relaxed FeAgTe3 crystal, from Alexandria.

Computed properties:
**Symmetry**: Pm-3m (221)

abc: 5.0620 5.0620 5.0620
angles: 90.00 90.00 90.00
Element x y z (fractional)
1 Fe 0.0000 0.0000 0.0000
2 Te 0.5000 0.0000 0.0000
3 Te 0.0000 0.5000 0.0000
4 Te 0.0000 0.0000 0.5000
5 Ag 0.5000 0.5000 0.5000

---

The most stable arrangement is model Q, and the next structure is 47.7 kJ/mol of atoms less stable.

---

Model P:
The following is a PBE calculation of a relaxed Th2FeAg crystal, from Alexandria.

Computed properties:
**Symmetry**: P4/mmm (123)

abc: 3.4279 3.4279 8.0199
angles: 90.00 90.00 90.00
Element x y z (fractional)
1 Th 0.0000 0.0000 0.7839
2 Th 0.0000 0.0000 0.2161
3 Fe 0.5000 0.5000 0.0000
4 Ag 0.5000 0.5000 0.5000

---

Model Q:
The following is a PBE calculation of a relaxed Th2FeAg crystal, from Alexandria.

Computed properties:
**Symmetry**: R3m (160)

abc: 4.0013 4.0013 7.7975
angles: 75.13 75.13 60.00
Element x y z (fractional)
1 Fe 0.6662 0.6662 0.0014
2 Th 0.2689 0.2689 0.1933
3 Th 0.0647 0.0647 0.8059
4 Ag 0.5002 0.5002 0.4993

---

Model R:
The following is a PBE calculation of a relaxed Th2FeAg crystal, from Alexandria.

Computed properties:
**Symmetry**: R-3m (166)

abc: 3.8968 3.8968 9.3577
angles: 77.98 77.98 60.00
Element x y z (fractional)
1 Th 0.1136 0.1136 0.6592
2 Th 0.8864 0.8864 0.3408
3 Ag 0.0000 0.0000 0.0000
4 Fe 0.5000 0.5000 0.5000

---

The most stable arrangement is model Q, and the next structure is 3.7 kJ/mol of atoms less stable.

---

Model P:
The following is a PBE calculation of a relaxed TiFeAg2 crystal, from Alexandria.

Computed properties:
**Symmetry**: Fm-3m (225)

abc: 4.4581 4.4581 4.4581
angles: 60.00 60.00 60.00
Element x y z (fractional)
1 Ag 0.7500 0.7500 0.7500
2 Ag 0.2500 0.2500 0.2500
3 Ti 0.0000 0.0000 0.0000
4 Fe 0.5000 0.5000 0.5000

---

Model Q:
The following is a PBE calculation of a relaxed TiFeAg2 crystal, from Alexandria.

Computed properties:
**Symmetry**: I-42d (122)

abc: 3.6613 3.6613 10.2095
angles: 79.67 79.67 90.00
Element x y z (fractional)
1 Ag 0.3750 0.3696 0.7500
2 Ag 0.8750 0.8804 0.7500
3 Ag 0.6304 0.1250 0.2500
4 Ag 0.1196 0.6250 0.2500
5 Ti 0.5000 0.5000 0.0000
6 Ti 0.2500 0.7500 0.5000
7 Fe 0.0000 0.0000 0.0000
8 Fe 0.7500 0.2500 0.5000

---

The most stable arrangement is model P, and the next structure is 3.4 kJ/mol of atoms less stable.

---

Model P:
The following is a PBE calculation of a relaxed TlFeAg crystal, from Alexandria.

Computed properties:
**Symmetry**: F-43m (216)

abc: 4.4753 4.4753 4.4753
angles: 60.00 60.00 60.00
Element x y z (fractional)
1 Ag 0.5000 0.5000 0.5000
2 Fe 0.7500 0.7500 0.7500
3 Tl 0.0000 0.0000 0.0000

---

Model Q:
The following is a PBE calculation of a relaxed TlFeAg crystal, from Alexandria.

Computed properties:
**Symmetry**: P3m1 (156)

abc: 4.6145 4.6145 3.0357
angles: 90.00 90.00 120.00
Element x y z (fractional)
1 Tl 0.6667 0.3333 0.6409
2 Fe 0.3333 0.6667 0.3535
3 Ag 0.0000 0.0000 0.0056

---

Model R:
The following is a PBE calculation of a relaxed TlFeAg crystal, from Alexandria.

Computed properties:
**Symmetry**: I4mm (107)

abc: 6.4662 6.4660 3.0249
angles: 76.48 76.47 27.05
Element x y z (fractional)
1 Fe 0.6596 0.6596 0.3404
2 Tl 0.3240 0.3240 0.6760
3 Ag 0.0164 0.0164 0.9836

---

The most stable arrangement is model R, and the next structure is 7.4 kJ/mol of atoms less stable.